[1]
MgIn5Ag6, relaxed, DFT GGA-PBE; E_form = 0.00 eV per atom
1.0
4.817 -4.602 0.000
4.817 4.602 0.000
-1.269 0.000 5.658
Mg In Ag
1 5 6
direct
0.000 0.000 0.000
0.165 0.835 0.500
0.331 0.669 0.000
0.500 0.500 0.500
0.669 0.331 0.000
0.835 0.165 0.500
0.082 0.410 0.249
0.246 0.246 0.769
0.410 0.082 0.249
0.590 0.918 0.751
0.754 0.754 0.231
0.918 0.590 0.751



[2]
ZnSi2Br, relaxed, DFT GGA-PBE; ΔE to the lowest computed polymorph = 240 meV/atom
1.0
3.880 0.000 0.000
0.000 4.905 0.000
-0.925 0.000 4.246
Zn Si Br
1 2 1
direct
0.000 0.000 0.000
0.198 0.500 0.825
0.802 0.500 0.175
0.500 0.000 0.500



[3]
K3GeOs, relaxed, DFT GGA-PBE; E_form = 1.41 eV per atom
1.0
6.210 0.000 0.000
0.000 6.210 0.000
0.000 0.000 6.210
K Ge Os
3 1 1
direct
0.000 0.000 0.500
0.000 0.500 0.000
0.500 0.000 0.000
0.500 0.500 0.500
0.000 0.000 0.000



How do the records compare in calculated total energy? In the order shown, they have -2.70, -3.14, -2.41 eV/atom.
How do the records compare in N(E_F)? In the order shown, they have 0.29, 0.34, 0.03 states/eV/atom.
How do the records compare in calculated density? In the order shown, they have 8.24, 4.14, 2.64 g cm⁻³.